# Pa3RePt2

Crystalline Pa3RePt2 at its relaxed geometry (PBE-GGA, Alexandria).

Properties
The calculation puts the formation energy at -0.596 eV/atom. The final energy is -9.4323 eV/atom.

Lattice parameters (Å, degrees): 5.743 6.759 7.267 100.18 109.42 92.67
Space group P-1 (No. 2)
Unique sites:
Pa (0.097, 0.135, 0.390) x2
Pa (0.249, 0.624, 0.300) x2
Pa (0.334, 0.241, 0.967) x2
Re (0.131, 0.798, 0.990) x2
Pt (0.254, 0.520, 0.678) x2
Pt (0.452, 0.940, 0.683) x2